(1)
BaW4O8: optimized geometry, GGA+U.

## Properties
The calculation puts the total DFT energy (no corrections) at -6.846 eV per atom. Its space group is P-31m.

Cell lengths 6.065, 6.065, 7.294 Å; angles 90.00, 90.00, 120.00 degrees
Site moments in Bohr magnetons follow the coordinates.
Sites, in units of the cell vectors:
1 Ba 0.000 0.000 0.000  0.02
2 W 0.333 0.667 0.720  2.07
3 W 0.667 0.333 0.720  2.07
4 W 0.333 0.667 0.280  2.07
5 W 0.667 0.333 0.280  2.07
6 O 0.342 0.342 0.717  0.05
7 O 0.658 0.000 0.717  0.05
8 O 0.000 0.658 0.717  0.05
9 O 0.658 0.658 0.283  0.05
10 O 0.000 0.342 0.283  0.05
11 O 0.342 0.000 0.283  0.05
12 O 0.333 0.667 0.000  0.13
13 O 0.667 0.333 0.000  0.13

(2)
BaW6O18: optimized geometry, GGA+U.

## Properties
The calculation puts the total DFT energy (no corrections) at -7.492 eV per atom. Its space group is C2/m.

Cell lengths 10.909, 10.909, 8.999 Å; angles 89.97, 89.97, 41.70 degrees
Site moments in Bohr magnetons follow the coordinates.
Sites, in units of the cell vectors:
1 Ba 0.875 0.875 0.088  0.00
2 Ba 0.125 0.125 0.912  0.00
3 W 0.469 0.968 0.206  0.23
4 W 0.285 0.779 0.205  0.24
5 W 0.968 0.469 0.206  0.23
6 W 0.779 0.285 0.205  0.24
7 W 0.127 0.624 0.435  0.16
8 W 0.624 0.127 0.435  0.16
9 W 0.873 0.376 0.565  0.16
10 W 0.376 0.873 0.565  0.16
11 W 0.221 0.715 0.795  0.24
12 W 0.531 0.032 0.794  0.23
13 W 0.032 0.531 0.794  0.23
14 W 0.715 0.221 0.795  0.24
15 O 0.377 0.873 0.144  -0.01
16 O 0.873 0.377 0.144  -0.01
17 O 0.215 0.215 0.198  -0.02
18 O 0.721 0.721 0.203  -0.02
19 O 0.532 0.532 0.210  -0.03
20 O 0.033 0.033 0.190  -0.01
21 O 0.184 0.700 0.276  -0.01
22 O 0.700 0.184 0.276  -0.01
23 O 0.556 0.061 0.275  -0.01
24 O 0.061 0.556 0.275  -0.01
25 O 0.304 0.817 0.410  -0.02
26 O 0.873 0.873 0.422  -0.01
27 O 0.377 0.377 0.432  -0.02
28 O 0.441 0.938 0.411  -0.02
29 O 0.938 0.441 0.411  -0.02
30 O 0.817 0.304 0.410  -0.02
31 O 0.623 0.623 0.568  -0.02
32 O 0.127 0.127 0.578  -0.01
33 O 0.696 0.183 0.590  -0.02
34 O 0.559 0.062 0.589  -0.02
35 O 0.183 0.696 0.590  -0.02
36 O 0.062 0.559 0.589  -0.02
37 O 0.444 0.939 0.725  -0.01
38 O 0.300 0.816 0.724  -0.01
39 O 0.939 0.444 0.725  -0.01
40 O 0.816 0.300 0.724  -0.01
41 O 0.279 0.279 0.797  -0.02
42 O 0.967 0.967 0.810  -0.01
43 O 0.468 0.468 0.790  -0.03
44 O 0.785 0.785 0.802  -0.02
45 O 0.127 0.623 0.856  -0.01
46 O 0.623 0.127 0.856  -0.01
47 O 0.500 0.000 0.000  -0.02
48 O 0.746 0.254 0.000  -0.02
49 O 0.000 0.500 0.000  -0.02
50 O 0.254 0.746 0.000  -0.02

(3)
Ba3Y2WO9: optimized geometry, GGA+U.

## Properties
The calculation puts the total DFT energy (no corrections) at -7.623 eV per atom. Its space group is Immm.

Cell lengths 10.582, 10.582, 10.582 Å; angles 146.46, 131.71, 60.07 degrees
Sites, in units of the cell vectors:
1 Ba 0.765 0.000 0.765
2 Ba 0.400 0.661 0.740
3 Ba 0.079 0.339 0.740
4 Ba 0.235 0.000 0.235
5 Ba 0.921 0.661 0.260
6 Ba 0.600 0.339 0.260
7 Y 0.500 0.500 0.000
8 Y 0.172 0.172 0.000
9 Y 0.828 0.828 0.000
10 Y 0.000 0.500 0.500
11 W 0.665 0.165 0.500
12 W 0.335 0.835 0.500
13 O 0.747 0.500 0.247
14 O 0.441 0.169 0.272
15 O 0.103 0.831 0.272
16 O 0.089 0.840 0.751
17 O 0.740 0.470 0.730
18 O 0.411 0.138 0.727
19 O 0.911 0.661 0.751
20 O 0.589 0.317 0.727
21 O 0.260 0.990 0.730
22 O 0.253 0.500 0.753
23 O 0.897 0.169 0.728
24 O 0.559 0.831 0.728
25 O 0.911 0.160 0.249
26 O 0.589 0.862 0.273
27 O 0.260 0.530 0.270
28 O 0.089 0.339 0.249
29 O 0.740 0.010 0.270
30 O 0.411 0.683 0.273

(4)
Ba2YW3O8: optimized geometry, GGA+U.

## Properties
The calculation puts the total DFT energy (no corrections) at -7.286 eV per atom. Its space group is P4/mmm.

Cell lengths 4.118, 4.118, 12.006 Å; angles 90.00, 90.00, 90.00 degrees
Site moments in Bohr magnetons follow the coordinates.
Sites, in units of the cell vectors:
1 Ba 0.500 0.500 0.183  0.00
2 Ba 0.500 0.500 0.817  0.00
3 Y 0.500 0.500 0.500  -0.02
4 W 0.000 0.000 0.396  0.91
5 W 0.000 0.000 0.000  0.96
6 W 0.000 0.000 0.604  0.91
7 O 0.000 0.500 0.360  0.03
8 O 0.500 0.000 0.360  0.03
9 O 0.500 0.000 0.000  0.05
10 O 0.000 0.000 0.161  -0.02
11 O 0.000 0.500 0.640  0.03
12 O 0.500 0.000 0.640  0.03
13 O 0.000 0.000 0.839  -0.02
14 O 0.000 0.500 0.000  0.05

(5)
Ba2YW3O12: optimized geometry, GGA+U.

## Properties
The calculation puts the total DFT energy (no corrections) at -7.515 eV per atom. Its space group is R-3m.

Cell lengths 7.322, 7.322, 7.322 Å; angles 61.84, 61.84, 61.84 degrees
Site moments in Bohr magnetons follow the coordinates.
Sites, in units of the cell vectors:
1 Ba 0.639 0.639 0.639  0.00
2 Ba 0.361 0.361 0.361  0.00
3 Y 0.000 0.000 0.000  0.00
4 W 0.500 0.000 0.000  0.37
5 W 0.000 0.500 0.000  0.37
6 W 0.000 0.000 0.500  0.37
7 O 0.294 0.294 0.920  -0.02
8 O 0.896 0.896 0.379  -0.01
9 O 0.379 0.896 0.896  -0.01
10 O 0.920 0.294 0.294  -0.02
11 O 0.896 0.379 0.896  -0.01
12 O 0.294 0.920 0.294  -0.02
13 O 0.706 0.706 0.080  -0.02
14 O 0.104 0.104 0.621  -0.01
15 O 0.621 0.104 0.104  -0.01
16 O 0.080 0.706 0.706  -0.02
17 O 0.104 0.621 0.104  -0.01
18 O 0.706 0.080 0.706  -0.02

(6)
BaYW2O8: optimized geometry, GGA+U.

## Properties
The calculation puts the total DFT energy (no corrections) at -7.591 eV per atom. Its space group is P-3m1.

Cell lengths 6.034, 6.034, 7.534 Å; angles 90.00, 90.00, 120.00 degrees
Site moments in Bohr magnetons follow the coordinates.
Sites, in units of the cell vectors:
1 Ba 0.000 0.000 0.000  0.00
2 Y 0.000 0.000 0.500  0.08
3 W 0.667 0.333 0.229  0.49
4 W 0.333 0.667 0.771  0.49
5 O 0.333 0.667 0.011  -0.02
6 O 0.329 0.165 0.304  -0.02
7 O 0.835 0.164 0.304  -0.02
8 O 0.667 0.333 0.989  -0.02
9 O 0.165 0.836 0.696  -0.02
10 O 0.671 0.835 0.696  -0.02
11 O 0.164 0.329 0.696  -0.02
12 O 0.836 0.671 0.304  -0.02